Model one:
## Ta2HOsRu (PBE)

Data for a relaxed Ta2HOsRu crystal.

Geometry as POSCAR:
```
Ta2HOsRu
1.0
-3.444 1.453 -2.051
-0.955 -3.975 -1.213
-2.006 -0.448 3.049
Ta H Os Ru
2 1 1 1
Cartesian
-1.722 0.727 -1.026
-0.477 -1.987 -0.606
0.000 0.000 0.000
-1.003 -0.224 1.525
-3.202 -1.485 -0.107
```

Results
Theoretical density: 16.25 g/cm³



Model two:
## Ta2HOsRu (PBE)

Data for a relaxed Ta2HOsRu crystal.

Geometry as POSCAR:
```
Ta2HOsRu
1.0
-1.152 4.105 0.277
-3.916 -1.006 -1.382
-1.078 -0.535 3.443
Os Ta H Ru
1 2 1 1
Cartesian
-3.073 1.282 1.169
-1.958 -0.503 -0.691
-0.576 2.053 0.139
0.000 0.000 0.000
-0.539 -0.268 1.721
```

Results
Theoretical density: 16.31 g/cm³



Short version: model two, model one, most stable first.



Model one:
## TaHOsRu2 (PBE)

Data for a relaxed TaHOsRu2 crystal.

Geometry as POSCAR:
```
TaHOsRu2
1.0
-1.514 -3.547 0.887
2.037 -0.021 3.393
-3.024 1.747 1.826
Os Ru H Ta
1 2 1 1
Cartesian
-1.512 0.874 0.913
1.018 -0.010 1.696
-0.757 -1.773 0.444
0.000 0.000 0.000
-1.251 -0.910 3.053
```

Results
Theoretical density: 15.45 g/cm³



Model two:
## TaHOsRu2 (PBE)

Data for a relaxed TaHOsRu2 crystal.

Geometry as POSCAR:
```
TaHOsRu2
1.0
-1.954 0.273 -3.379
0.594 -3.813 -0.651
-3.439 -0.863 1.919
Ru Os H Ta
2 1 1 1
Cartesian
-0.977 0.136 -1.690
0.297 -1.906 -0.326
-2.400 -2.202 -1.056
0.000 0.000 0.000
-1.720 -0.432 0.959
```

Results
Theoretical density: 15.45 g/cm³



Short version: model one, model two, most stable first.



Model one:
## Tc2HOsRu (PBE)

Data for a relaxed Tc2HOsRu crystal.

Geometry as POSCAR:
```
Tc2HOsRu
1.0
3.911 0.000 0.000
0.000 3.911 0.000
0.000 0.000 3.891
H Ru Tc Os
1 1 2 1
Cartesian
0.000 0.000 0.000
1.956 1.956 1.946
1.956 0.000 0.000
0.000 1.956 0.000
0.000 0.000 1.946
```

Results
Theoretical density: 13.62 g/cm³



Model two:
## Tc2HOsRu (PBE)

Data for a relaxed Tc2HOsRu crystal.

Geometry as POSCAR:
```
Tc2HOsRu
1.0
3.915 0.000 0.000
0.000 3.915 0.000
0.000 0.000 3.872
Os Tc H Ru
1 2 1 1
Cartesian
1.957 1.957 1.936
1.957 0.000 0.000
0.000 1.957 0.000
0.000 0.000 0.000
0.000 0.000 1.936
```

Results
Theoretical density: 13.66 g/cm³



Short version: model two, model one, most stable first.



Model one:
## Ti2HOsRu (PBE)

Data for a relaxed Ti2HOsRu crystal.

Geometry as POSCAR:
```
Ti2HOsRu
1.0
4.311 0.000 0.000
0.000 4.311 0.000
0.000 0.000 3.341
Ru Os Ti H
1 1 2 1
Cartesian
0.000 0.000 1.671
2.156 2.156 1.671
0.000 2.156 0.000
2.156 0.000 0.000
0.000 0.000 0.000
```

Results
Theoretical density: 10.38 g/cm³



Model two:
## Ti2HOsRu (PBE)

Data for a relaxed Ti2HOsRu crystal.

Geometry as POSCAR:
```
Ti2HOsRu
1.0
4.288 0.000 0.000
0.000 4.288 0.000
0.000 0.000 3.404
H Os Ti Ru
1 1 2 1
Cartesian
0.000 0.000 0.000
0.000 0.000 1.702
0.000 2.144 0.000
2.144 0.000 0.000
2.144 2.144 1.702
```

Results
Theoretical density: 10.29 g/cm³



Short version: model one, model two, most stable first.



Model one:
## H2OsS (PBE)

Data for a relaxed H2OsS crystal.

Geometry as POSCAR:
```
H2OsS
1.0
5.468 0.000 0.000
0.000 5.468 0.000
2.734 2.734 2.558
Os H S
2 4 2
Cartesian
0.000 0.000 0.000
5.468 2.734 1.279
4.101 3.610 1.919
4.592 1.367 0.640
0.876 4.101 0.640
6.835 7.326 1.919
2.734 5.468 1.279
2.734 2.734 0.000
```

Results
Theoretical density: 9.74 g/cm³



Model two:
## H2OsS (PBE)

Data for a relaxed H2OsS crystal.

Geometry as POSCAR:
```
H2OsS
1.0
2.009 1.283 2.789
-1.225 2.824 1.997
-1.104 -0.540 3.457
H S Os
2 1 1
Cartesian
-0.080 0.892 2.061
-0.239 2.675 6.182
0.000 0.000 0.000
-0.160 1.784 4.122
```

Results
Theoretical density: 10.66 g/cm³



Short version: model one, model two, most stable first.



Model one:
## HOs2S (PBE)

Data for a relaxed HOs2S crystal.

Geometry as POSCAR:
```
HOs2S
1.0
-0.132 0.440 3.953
-2.682 2.439 1.642
-3.051 -1.500 2.068
H Os S
1 2 1
Cartesian
0.000 0.000 0.000
-4.399 1.034 5.747
-1.466 0.345 1.916
-2.933 0.689 3.831
```

Results
Theoretical density: 15.41 g/cm³



Model two:
## HOs2S (PBE)

Data for a relaxed HOs2S crystal.

Geometry as POSCAR:
```
HOs2S
1.0
-0.878 -3.004 -3.568
4.625 -0.093 -1.060
2.435 -4.978 0.436
Os S H
4 2 2
Cartesian
3.304 -1.970 -1.347
3.681 -4.904 -1.512
4.654 -6.434 -3.620
0.723 -2.841 -1.906
0.000 0.000 0.000
1.715 -4.765 -2.723
4.466 -3.310 -1.469
1.873 -1.548 -2.314
```

Results
Theoretical density: 13.76 g/cm³



Short version: model two, model one, most stable first.



Model one:
## HOsS3 (PBE)

Data for a relaxed HOsS3 crystal.

Geometry as POSCAR:
```
HOsS3
1.0
-0.969 -3.804 0.115
3.795 -0.957 0.321
-0.283 0.190 3.912
S H Os
3 1 1
Cartesian
-0.141 0.095 1.956
1.898 -0.478 0.160
-0.484 -1.902 0.057
0.000 0.000 0.000
1.272 -2.285 2.174
```

Results
Theoretical density: 7.88 g/cm³



Model two:
## HOsS3 (PBE)

Data for a relaxed HOsS3 crystal.

Geometry as POSCAR:
```
HOsS3
1.0
4.635 0.000 0.000
0.000 4.635 0.000
0.000 0.000 4.635
S H Os
3 1 1
Cartesian
2.317 0.000 0.000
0.000 2.317 0.000
0.000 0.000 2.317
2.317 2.317 2.317
0.000 0.000 0.000
```

Results
Theoretical density: 4.79 g/cm³



Short version: model two, model one, most stable first.



Model one:
## SbH2Os (PBE)

Data for a relaxed SbH2Os crystal.

Geometry as POSCAR:
```
SbH2Os
1.0
-3.113 -1.466 0.002
1.240 -2.631 1.839
-1.875 3.990 6.974
H Os Sb
4 2 2
Cartesian
-0.343 0.731 1.277
-1.531 -0.784 3.130
-1.531 3.259 5.696
-2.217 0.678 5.685
-2.963 2.260 5.231
0.151 -0.318 2.663
-0.937 -2.048 0.920
-0.937 1.995 3.487
```

Results
Theoretical density: 10.68 g/cm³



Model two:
## SbH2Os (PBE)

Data for a relaxed SbH2Os crystal.

Geometry as POSCAR:
```
SbH2Os
1.0
3.353 0.000 0.000
0.000 3.353 0.000
0.000 0.000 8.508
H Os Sb
4 2 2
Cartesian
1.676 0.000 7.846
0.000 1.676 7.846
1.676 0.000 3.592
0.000 1.676 3.592
0.000 0.000 4.241
1.676 1.676 8.495
1.676 1.676 5.769
0.000 0.000 1.515
```

Results
Theoretical density: 10.90 g/cm³



Short version: model one, model two, most stable first.



Model one:
## SbH2Os (PBE)

Data for a relaxed SbH2Os crystal.

Geometry as POSCAR:
```
SbH2Os
1.0
3.164 0.000 0.000
0.000 4.785 0.000
0.000 0.000 6.902
H Sb Os
4 2 2
Cartesian
1.582 0.000 0.383
0.000 0.000 1.247
0.000 2.392 3.834
1.582 2.392 4.698
0.000 0.000 4.241
1.582 2.392 0.790
0.000 2.392 5.468
1.582 0.000 2.017
```

Results
Theoretical density: 9.98 g/cm³



Model two:
## SbH2Os (PBE)

Data for a relaxed SbH2Os crystal.

Geometry as POSCAR:
```
SbH2Os
1.0
6.382 0.000 0.016
0.000 3.115 0.000
-0.054 0.000 5.370
Sb H Os
2 4 2
Cartesian
3.945 1.558 1.325
3.918 0.000 4.010
0.232 0.000 2.176
0.205 1.558 4.861
1.226 0.000 0.383
1.199 1.558 3.069
1.841 1.558 4.876
1.868 0.000 2.191
```

Results
Theoretical density: 9.77 g/cm³



Model three:
## SbH2Os (PBE)

Data for a relaxed SbH2Os crystal.

Geometry as POSCAR:
```
SbH2Os
1.0
3.346 0.000 -0.009
0.000 3.202 0.000
-0.771 0.000 9.466
H Os Sb
4 2 2
Cartesian
0.231 0.000 2.427
2.494 1.601 3.454
2.108 0.000 8.187
-0.154 1.601 7.160
1.921 0.000 2.895
1.536 1.601 7.628
1.450 0.000 5.500
1.835 1.601 0.767
```

Results
Theoretical density: 10.28 g/cm³



Short version: model one, model three, model two, most stable first.



Model one:
## SbH2Os (PBE)

Data for a relaxed SbH2Os crystal.

Geometry as POSCAR:
```
SbH2Os
1.0
2.257 2.839 1.621
-0.924 1.475 3.571
2.283 -0.831 3.143
H Os Sb
2 1 1
Cartesian
2.711 2.612 6.252
0.904 0.871 2.084
1.808 1.741 4.168
0.000 0.000 0.000
```

Results
Theoretical density: 11.76 g/cm³



Model two:
## SbH2Os (PBE)

Data for a relaxed SbH2Os crystal.

Geometry as POSCAR:
```
SbH2Os
1.0
3.954 0.000 0.000
0.000 3.954 0.000
1.977 1.977 6.120
Os H Sb
2 4 2
Cartesian
0.000 0.000 0.000
3.954 1.977 3.060
4.942 1.981 4.590
3.950 2.965 1.530
3.958 0.988 1.530
2.965 1.973 4.590
1.977 1.977 0.000
1.977 3.954 3.060
```

Results
Theoretical density: 10.90 g/cm³



Model three:
## SbH2Os (PBE)

Data for a relaxed SbH2Os crystal.

Geometry as POSCAR:
```
SbH2Os
1.0
-0.565 0.493 -2.987
1.962 -2.253 -0.744
-4.355 -3.867 0.230
H Os Sb
2 1 1
Cartesian
-0.332 -0.148 -0.429
0.367 -1.027 -2.294
-1.334 -0.537 -1.892
-1.351 -3.043 -0.715
```

Results
Theoretical density: 9.44 g/cm³



Short version: model three, model two, model one, most stable first.



Model one:
## SbHOs3 (PBE)

Data for a relaxed SbHOs3 crystal.

Geometry as POSCAR:
```
SbHOs3
1.0
4.027 0.000 0.000
0.000 4.027 0.000
0.000 0.000 4.027
Os H Sb
3 1 1
Cartesian
2.014 0.000 0.000
0.000 0.000 2.014
0.000 2.014 0.000
0.000 0.000 0.000
2.014 2.014 2.014
```

Results
Theoretical density: 17.63 g/cm³



Model two:
## SbHOs3 (PBE)

Data for a relaxed SbHOs3 crystal.

Geometry as POSCAR:
```
SbHOs3
1.0
-0.872 1.903 -4.415
3.115 -3.194 -1.992
-3.662 -3.171 -0.643
Os Sb H
3 1 1
Cartesian
1.558 -1.597 -0.996
-1.831 -1.585 -0.322
-0.436 0.952 -2.208
0.000 0.000 0.000
-0.709 -2.231 -3.525
```

Results
Theoretical density: 9.87 g/cm³



Short version: model one, model two, most stable first.



Model one:
## SbHOs2 (PBE)

Data for a relaxed SbHOs2 crystal.

Geometry as POSCAR:
```
SbHOs2
1.0
4.916 0.000 0.000
0.000 4.916 0.000
2.458 2.458 4.946
Sb H Os
2 2 4
Cartesian
0.000 0.000 0.000
4.916 2.458 2.473
2.458 2.458 0.000
2.458 4.916 2.473
2.007 3.687 1.237
6.145 5.368 3.710
2.910 1.229 1.237
3.687 4.465 3.710
```

Results
Theoretical density: 13.98 g/cm³



Model two:
## SbHOs2 (PBE)

Data for a relaxed SbHOs2 crystal.

Geometry as POSCAR:
```
SbHOs2
1.0
-3.102 -0.975 2.823
-3.279 -2.525 -1.191
-0.312 -4.002 1.558
Sb Os H
1 2 1
Cartesian
-3.346 -3.751 1.596
-1.673 -1.875 0.798
-5.019 -5.626 2.393
0.000 0.000 0.000
```

Results
Theoretical density: 14.80 g/cm³



Short version: model one, model two, most stable first.



Model one:
## Sb2HOs (PBE)

Data for a relaxed Sb2HOs crystal.

Geometry as POSCAR:
```
Sb2HOs
1.0
0.000 3.211 3.211
3.211 0.000 3.211
3.211 3.211 0.000
Os H Sb
1 1 2
Cartesian
3.211 3.211 3.211
0.000 0.000 0.000
1.605 1.605 1.605
4.816 4.816 4.816
```

Results
Theoretical density: 10.90 g/cm³



Model two:
## Sb2HOs (PBE)

Data for a relaxed Sb2HOs crystal.

Geometry as POSCAR:
```
Sb2HOs
1.0
-2.415 -0.988 5.783
-5.125 -2.688 -2.599
-2.180 -4.990 1.717
Sb Os H
4 2 2
Cartesian
-2.567 -2.148 3.411
-7.960 -6.816 4.211
-4.735 -5.264 2.344
-4.178 -3.103 -0.165
-4.183 -3.908 4.546
0.000 0.000 0.000
-5.538 -4.758 0.355
-3.770 -1.838 1.592
```

Results
Theoretical density: 10.15 g/cm³



Short version: model one, model two, most stable first.